No. 1
Below is a geometry-optimized TaTiP2S structure, with properties calculated at the GGA-PBE level.

The structure in extended XYZ format:
```
5
Lattice="-1.652 -3.536 2.803 4.510 -1.211 1.131 -0.124 2.963 3.665" Properties=species:S:1:pos:R:3 pbc="T T T"
Ta 0.000 0.000 0.000
P -0.826 -1.768 1.401
P 2.255 -0.605 0.566
S -0.062 1.481 1.832
Ti 1.367 -0.892 3.799
```

Summary:
Its electronic total energy is -6.7185 eV per atom. As for the energy relative to the lowest polymorph listed for this composition: 0 meV per atom.

---

No. 2
Below is a geometry-optimized TaTiP2S structure, with properties calculated at the GGA-PBE level.

The structure in extended XYZ format:
```
5
Lattice="4.638 0.000 0.000 0.000 4.638 0.000 0.000 0.000 4.439" Properties=species:S:1:pos:R:3 pbc="T T T"
P 2.319 0.000 0.000
S 0.000 0.000 2.219
P 0.000 2.319 0.000
Ti 0.000 0.000 0.000
Ta 2.319 2.319 2.219
```

Summary:
Its electronic total energy is -6.3985 eV per atom. As for the energy relative to the lowest polymorph listed for this composition: 320 meV per atom.

---

No. 3
Below is a geometry-optimized TaTlPS2 structure, with properties calculated at the GGA-PBE level.

The structure in extended XYZ format:
```
5
Lattice="-0.678 4.852 0.666 -4.087 -0.190 -2.775 -2.714 -0.937 4.061" Properties=species:S:1:pos:R:3 pbc="T T T"
S -0.339 2.426 0.333
Tl 0.000 0.000 0.000
Ta -3.739 1.863 0.976
S -2.044 -0.095 -1.388
P -1.357 -0.468 2.031
```

Summary:
Its electronic total energy is -4.0271 eV per atom. As for the energy relative to the lowest polymorph listed for this composition: 1860 meV per atom.

---

No. 4
Below is a geometry-optimized TaTlPS2 structure, with properties calculated at the GGA-PBE level.

The structure in extended XYZ format:
```
5
Lattice="-0.387 -4.477 1.790 3.408 1.016 3.279 -3.499 1.564 3.152" Properties=species:S:1:pos:R:3 pbc="T T T"
P -1.750 0.782 1.576
S -0.194 -2.238 0.895
Tl -0.239 -0.948 4.111
Ta 0.000 0.000 0.000
S 1.704 0.508 1.639
```

Summary:
Its electronic total energy is -5.8872 eV per atom. As for the energy relative to the lowest polymorph listed for this composition: 0 meV per atom.

---

No. 5
Below is a geometry-optimized TaVP2S structure, with properties calculated at the GGA-PBE level.

The structure in extended XYZ format:
```
5
Lattice="-1.154 -0.692 4.333 -1.506 -4.145 -1.064 3.954 -1.640 0.791" Properties=species:S:1:pos:R:3 pbc="T T T"
P -0.753 -2.073 -0.532
Ta 0.647 -3.239 2.030
V 0.000 0.000 0.000
P -0.577 -0.346 2.166
S 1.977 -0.820 0.396
```

Summary:
Its electronic total energy is -6.5589 eV per atom. As for the energy relative to the lowest polymorph listed for this composition: 0 meV per atom.

---

No. 6
Below is a geometry-optimized TaVP2S structure, with properties calculated at the GGA-PBE level.

The structure in extended XYZ format:
```
5
Lattice="4.819 0.000 0.000 0.000 4.819 0.000 0.000 0.000 4.664" Properties=species:S:1:pos:R:3 pbc="T T T"
P 0.000 2.409 0.000
Ta 0.000 0.000 0.000
S 0.000 0.000 2.332
V 2.409 2.409 2.332
P 2.409 0.000 0.000
```

Summary:
Its electronic total energy is -6.5201 eV per atom. As for the energy relative to the lowest polymorph listed for this composition: 39 meV per atom.